P:
The following is a PBE-GGA calculation of a relaxed structure of Be3BiB, from Alexandria via LeMat-Bulk.

Computed properties:
Symmetry ... No. 221
Magnetization ... 0.00 μB per cell

abc: 3.9988 3.9988 3.9988
angles: 90.00 90.00 90.00
Positions (direct):
Be 0.0000 0.5000 0.0000
Be 0.0000 0.0000 0.5000
Be 0.5000 0.0000 0.0000
B 0.0000 0.0000 0.0000
Bi 0.5000 0.5000 0.5000

***

Q:
The following is a PBE-GGA calculation of a relaxed structure of Be3BiB, from Alexandria via LeMat-Bulk.

Computed properties:
Symmetry ... No. 221
Magnetization ... 0.00 μB per cell

abc: 4.7402 4.7402 4.7402
angles: 90.00 90.00 90.00
Positions (direct):
Be 0.0000 0.5000 0.0000
Be 0.0000 0.0000 0.5000
Be 0.5000 0.0000 0.0000
B 0.5000 0.5000 0.5000
Bi 0.0000 0.0000 0.0000

***

Short version: P is the most stable of them.

***

P:
The following is a PBE-GGA calculation of a relaxed structure of BeBiB2, from Alexandria via LeMat-Bulk.

Computed properties:
Symmetry ... No. 225
Magnetization ... 0.00 μB per cell

abc: 4.3077 4.3077 4.3077
angles: 60.00 60.00 60.00
Positions (direct):
Be 0.0000 0.0000 0.0000
B 0.2500 0.2500 0.2500
B 0.7500 0.7500 0.7500
Bi 0.5000 0.5000 0.5000

***

Q:
The following is a PBE-GGA calculation of a relaxed structure of BeBiB2, from Alexandria via LeMat-Bulk.

Computed properties:
Symmetry ... No. 122
Magnetization ... 0.00 μB per cell

abc: 4.0733 4.0733 7.0652
angles: 73.25 73.25 90.00
Positions (direct):
Be 0.5000 0.5000 0.0000
Be 0.2500 0.7500 0.5000
B 0.4367 0.1250 0.2500
B 0.3133 0.6250 0.2500
B 0.3750 0.5633 0.7500
B 0.8750 0.6867 0.7500
Bi 0.0000 0.0000 0.0000
Bi 0.7500 0.2500 0.5000

***

Short version: Q is the most stable of them.

***

P:
The following is a PBE-GGA calculation of a relaxed structure of BeBiB3, from Alexandria via LeMat-Bulk.

Computed properties:
Symmetry ... No. 221
Magnetization ... 0.00 μB per cell

abc: 4.7044 4.7044 4.7044
angles: 90.00 90.00 90.00
Positions (direct):
Be 0.5000 0.5000 0.5000
B 0.0000 0.5000 0.0000
B 0.0000 0.0000 0.5000
B 0.5000 0.0000 0.0000
Bi 0.0000 0.0000 0.0000

***

Q:
The following is a PBE-GGA calculation of a relaxed structure of BeBiB3, from Alexandria via LeMat-Bulk.

Computed properties:
Symmetry ... No. 221
Magnetization ... 0.00 μB per cell

abc: 3.9839 3.9839 3.9839
angles: 90.00 90.00 90.00
Positions (direct):
Be 0.0000 0.0000 0.0000
B 0.0000 0.5000 0.0000
B 0.0000 0.0000 0.5000
B 0.5000 0.0000 0.0000
Bi 0.5000 0.5000 0.5000

***

Short version: Q is the most stable of them.

***

P:
The following is a PBE-GGA calculation of a relaxed structure of BeBi2B, from Alexandria via LeMat-Bulk.

Computed properties:
Symmetry ... No. 225
Magnetization ... 0.00 μB per cell

abc: 4.8466 4.8466 4.8466
angles: 60.00 60.00 60.00
Positions (direct):
Be 0.0000 0.0000 0.0000
B 0.5000 0.5000 0.5000
Bi 0.2500 0.2500 0.2500
Bi 0.7500 0.7500 0.7500

***

Q:
The following is a PBE-GGA calculation of a relaxed structure of BeBi2B, from Alexandria via LeMat-Bulk.

Computed properties:
Symmetry ... No. 122
Magnetization ... 0.00 μB per cell

abc: 5.7574 5.7574 6.8843
angles: 65.28 65.28 90.00
Positions (direct):
Be 0.5000 0.5000 0.0000
Be 0.2500 0.7500 0.5000
B 0.0000 0.0000 0.0000
B 0.7500 0.2500 0.5000
Bi 0.6420 0.1250 0.2500
Bi 0.1080 0.6250 0.2500
Bi 0.3750 0.3580 0.7500
Bi 0.8750 0.8920 0.7500

***

Short version: Q is the most stable of them.

***

P:
The following is a PBE-GGA calculation of a relaxed structure of BeBi2BPt, from Alexandria via LeMat-Bulk.

Computed properties:
Symmetry ... No. 123
Magnetization ... 0.00 μB per cell

abc: 5.2280 3.4813 5.2280
angles: 90.00 90.00 90.00
Positions (direct):
Be 0.0000 0.0000 0.0000
B 0.0000 0.5000 0.0000
Bi 0.0000 0.0000 0.5000
Bi 0.5000 0.0000 0.0000
Pt 0.5000 0.5000 0.5000

***

Q:
The following is a PBE-GGA calculation of a relaxed structure of BeBi2BPt, from Alexandria via LeMat-Bulk.

Computed properties:
Symmetry ... No. 123
Magnetization ... 0.00 μB per cell

abc: 5.1702 4.0242 5.1702
angles: 90.00 90.00 90.00
Positions (direct):
Be 0.5000 0.5000 0.5000
B 0.0000 0.0000 0.0000
Bi 0.0000 0.0000 0.5000
Bi 0.5000 0.0000 0.0000
Pt 0.0000 0.5000 0.0000

***

Short version: P is the most stable of them.

***

P:
The following is a PBE-GGA calculation of a relaxed structure of BeBBr2, from Alexandria via LeMat-Bulk.

Computed properties:
Symmetry ... No. 225
Magnetization ... 0.00 μB per cell

abc: 4.6340 4.6340 4.6340
angles: 60.00 60.00 60.00
Positions (direct):
Be 0.0000 0.0000 0.0000
B 0.5000 0.5000 0.5000
Br 0.2500 0.2500 0.2500
Br 0.7500 0.7500 0.7500

***

Q:
The following is a PBE-GGA calculation of a relaxed structure of BeBBr2, from Alexandria via LeMat-Bulk.

Computed properties:
Symmetry ... No. 166
Magnetization ... 0.00 μB per cell

abc: 8.7241 8.7241 8.7241
angles: 22.46 22.46 22.46
Positions (direct):
Be 0.5000 0.5000 0.5000
B 0.0000 0.0000 0.0000
Br 0.8879 0.8879 0.8879
Br 0.1121 0.1121 0.1121

***

R:
The following is a PBE-GGA calculation of a relaxed structure of BeBBr2, from Alexandria via LeMat-Bulk.

Computed properties:
Symmetry ... No. 122
Magnetization ... 2.00 μB per cell

abc: 6.4789 6.4789 6.4864
angles: 60.04 60.04 90.00
Site moments in Bohr magnetons follow the coordinates.
Positions (direct):
Be 0.5000 0.5000 0.0000  0.02
Be 0.2500 0.7500 0.5000  0.02
B 0.0000 0.0000 0.0000  0.36
B 0.7500 0.2500 0.5000  0.35
Br 0.5293 0.1250 0.2500  0.02
Br 0.2207 0.6250 0.2500  0.02
Br 0.3750 0.4707 0.7500  0.02
Br 0.8750 0.7793 0.7500  0.01

***

Short version: Q is the most stable of them.

***

P:
The following is a PBE-GGA calculation of a relaxed structure of Be2BBr2, from Alexandria via LeMat-Bulk.

Computed properties:
Symmetry ... No. 127
Magnetization ... 0.00 μB per cell

abc: 8.1370 8.1370 3.3411
angles: 90.00 90.00 90.00
Positions (direct):
Be 0.0899 0.5899 0.5000
Be 0.5899 0.9101 0.5000
Be 0.9101 0.4101 0.5000
Be 0.4101 0.0899 0.5000
B 0.0000 0.0000 0.0000
B 0.5000 0.5000 0.0000
Br 0.2125 0.7125 0.0000
Br 0.7125 0.7875 0.0000
Br 0.7875 0.2875 0.0000
Br 0.2875 0.2125 0.0000

***

Q:
The following is a PBE-GGA calculation of a relaxed structure of Be2BBr2, from Alexandria via LeMat-Bulk.

Computed properties:
Symmetry ... No. 139
Magnetization ... 0.00 μB per cell

abc: 3.2134 3.2134 8.6565
angles: 79.30 79.30 90.00
Positions (direct):
Be 0.7500 0.2500 0.5000
Be 0.2500 0.7500 0.5000
B 0.0000 0.0000 0.0000
Br 0.4006 0.4006 0.1988
Br 0.5994 0.5994 0.8012

***

Short version: P is the most stable of them.

***

P:
The following is a PBE-GGA calculation of a relaxed structure of BeBC, from Alexandria via LeMat-Bulk.

Computed properties:
Symmetry ... No. 6
Magnetization ... 0.00 μB per cell

abc: 3.5943 2.7431 4.7588
angles: 90.00 111.85 90.00
Positions (direct):
Be 0.2116 0.5000 0.4951
Be 0.7895 0.0000 0.1421
C 0.3666 0.0000 0.2572
C 0.9342 0.5000 0.7416
B 0.1023 0.0000 0.8906
B 0.6428 0.5000 0.3869

***

Q:
The following is a PBE-GGA calculation of a relaxed structure of BeBC, from Alexandria via LeMat-Bulk.

Computed properties:
Symmetry ... No. 12
Magnetization ... 0.00 μB per cell

abc: 3.3291 2.7054 11.2153
angles: 90.00 104.57 90.00
Positions (direct):
Be 0.2679 0.0000 0.2696
Be 0.7321 0.0000 0.7304
Be 0.2679 0.5000 0.7696
Be 0.7321 0.5000 0.2304
C 0.8330 0.0000 0.3479
C 0.1670 0.0000 0.6521
C 0.8330 0.5000 0.8479
C 0.1670 0.5000 0.1521
B 0.0897 0.0000 0.0784
B 0.9103 0.0000 0.9216
B 0.0897 0.5000 0.5784
B 0.9103 0.5000 0.4216

***

Short version: Q is the most stable of them.

***

P:
The following is a PBE-GGA calculation of a relaxed structure of BeBC, from Alexandria via LeMat-Bulk.

Computed properties:
Symmetry ... No. 25
Magnetization ... 0.00 μB per cell

abc: 3.3504 2.7809 4.8920
angles: 90.00 90.00 90.00
Positions (direct):
Be 0.0000 0.0000 0.7942
Be 0.0000 0.5000 0.1690
C 0.5000 0.5000 0.2448
C 0.5000 0.0000 0.7235
B 0.5000 0.5000 0.5661
B 0.5000 0.0000 0.0687

***

Q:
The following is a PBE-GGA calculation of a relaxed structure of BeBC, from Alexandria via LeMat-Bulk.

Computed properties:
Symmetry ... No. 8
Magnetization ... 0.00 μB per cell

abc: 3.7323 2.7043 4.7607
angles: 90.00 118.84 90.00
Positions (direct):
Be 0.8672 0.0000 0.3305
Be 0.8672 0.5000 0.8305
C 0.3226 0.0000 0.1153
C 0.3226 0.5000 0.6153
B 0.4282 0.0000 0.4855
B 0.4282 0.5000 0.9855

***

Short version: P is the most stable of them.

***

P:
The following is a PBE-GGA calculation of a relaxed structure of Be3BC, from Alexandria via LeMat-Bulk.

Computed properties:
Symmetry ... No. 221
Magnetization ... 0.00 μB per cell

abc: 3.4584 3.4584 3.4584
angles: 90.00 90.00 90.00
Positions (direct):
Be 0.0000 0.5000 0.0000
Be 0.0000 0.0000 0.5000
Be 0.5000 0.0000 0.0000
C 0.0000 0.0000 0.0000
B 0.5000 0.5000 0.5000

***

Q:
The following is a PBE-GGA calculation of a relaxed structure of Be3BC, from Alexandria via LeMat-Bulk.

Computed properties:
Symmetry ... No. 221
Magnetization ... 0.00 μB per cell

abc: 3.5427 3.5427 3.5427
angles: 90.00 90.00 90.00
Positions (direct):
Be 0.0000 0.5000 0.0000
Be 0.0000 0.0000 0.5000
Be 0.5000 0.0000 0.0000
C 0.5000 0.5000 0.5000
B 0.0000 0.0000 0.0000

***

Short version: P is the most stable of them.

***

P:
The following is a PBE-GGA calculation of a relaxed structure of BeGe2BC, from Alexandria via LeMat-Bulk.

Computed properties:
Symmetry ... No. 123
Magnetization ... 0.00 μB per cell

abc: 4.6187 3.1770 4.6187
angles: 90.00 90.00 90.00
Positions (direct):
Be 0.0000 0.0000 0.0000
Ge 0.0000 0.0000 0.5000
Ge 0.5000 0.0000 0.0000
B 0.5000 0.5000 0.5000
C 0.0000 0.5000 0.0000

***

Q:
The following is a PBE-GGA calculation of a relaxed structure of BeGe2BC, from Alexandria via LeMat-Bulk.

Computed properties:
Symmetry ... No. 123
Magnetization ... 0.00 μB per cell

abc: 4.4733 3.3535 4.4733
angles: 90.00 90.00 90.00
Positions (direct):
Be 0.0000 0.0000 0.0000
Ge 0.0000 0.0000 0.5000
Ge 0.5000 0.0000 0.0000
B 0.0000 0.5000 0.0000
C 0.5000 0.5000 0.5000

***

Short version: P is the most stable of them.

***

P:
The following is a PBE-GGA calculation of a relaxed structure of CaBe3B, from Alexandria via LeMat-Bulk.

Computed properties:
Symmetry ... No. 221
Magnetization ... 0.00 μB per cell

abc: 5.2731 5.2731 5.2731
angles: 90.00 90.00 90.00
Positions (direct):
Be 0.0000 0.5000 0.0000
Be 0.0000 0.0000 0.5000
Be 0.5000 0.0000 0.0000
Ca 0.0000 0.0000 0.0000
B 0.5000 0.5000 0.5000

***

Q:
The following is a PBE-GGA calculation of a relaxed structure of CaBe3B, from Alexandria via LeMat-Bulk.

Computed properties:
Symmetry ... No. 221
Magnetization ... 0.00 μB per cell

abc: 3.8731 3.8731 3.8731
angles: 90.00 90.00 90.00
Positions (direct):
Be 0.0000 0.5000 0.0000
Be 0.0000 0.0000 0.5000
Be 0.5000 0.0000 0.0000
Ca 0.5000 0.5000 0.5000
B 0.0000 0.0000 0.0000

***

Short version: Q is the most stable of them.